1.
## NdHo2Al (PBE-GGA)

Data for NdHo2Al after structural relaxation. Values from VASP.

Its crystal system is tetragonal. As for the space group: No. 123. For the magnetic moment, the calculation gives 0.000 μB per atom. Its total energy is -18.45 eV/cell.

```
&SYSTEM
  ibrav = 0, nat = 4, ntyp = 3
/
ATOMIC_SPECIES
Al 26.98 Al.upf
Ho 164.93 Ho.upf
Nd 144.24 Nd.upf
CELL_PARAMETERS angstrom
-2.700 -0.667 -2.171
0.415 -3.461 0.546
-5.745 0.418 7.018
ATOMIC_POSITIONS crystal
Al 0.500 0.500 0.000
Ho 0.000 0.000 0.209
Ho 0.000 0.000 0.791
Nd 0.500 0.500 0.500
```



2.
## AcBi3 (PBE-GGA)

Data for AcBi3 after structural relaxation. Values from VASP.

Its crystal system is tetragonal. As for the space group: No. 123. For the magnetic moment, the calculation gives 0.000 μB per atom. Its total energy is -17.86 eV/cell.

```
&SYSTEM
  ibrav = 0, nat = 4, ntyp = 2
/
ATOMIC_SPECIES
Bi 208.98 Bi.upf
Ac 227.00 Ac.upf
CELL_PARAMETERS angstrom
-0.261 -3.736 3.681
4.847 -0.093 0.250
-0.122 3.682 3.729
ATOMIC_POSITIONS crystal
Bi 0.000 0.000 0.083
Bi 0.500 0.500 0.083
Bi 0.000 0.500 0.583
Ac 0.500 0.000 0.583
```



3.
## HgRh3 (PBE-GGA)

Data for HgRh3 after structural relaxation. Values from VASP.

Its crystal system is trigonal. As for the space group: No. 166. For the magnetic moment, the calculation gives 0.000 μB per atom. Its total energy is -21.52 eV/cell.

```
&SYSTEM
  ibrav = 0, nat = 4, ntyp = 2
/
ATOMIC_SPECIES
Rh 102.91 Rh.upf
Hg 200.59 Hg.upf
CELL_PARAMETERS angstrom
9.090 -1.418 -0.009
9.090 1.418 -0.009
8.871 0.000 2.438
ATOMIC_POSITIONS crystal
Rh 0.500 0.500 0.500
Rh 0.755 0.755 0.755
Rh 0.245 0.245 0.245
Hg 0.000 0.000 0.000
```



4.
## PrHgBr (PBE-GGA)

Data for PrHgBr after structural relaxation. Values from VASP.

Its crystal system is monoclinic. As for the space group: No. 11. For the magnetic moment, the calculation gives 0.000 μB per atom. Its total energy is -37.06 eV/cell.

```
&SYSTEM
  ibrav = 0, nat = 12, ntyp = 3
/
ATOMIC_SPECIES
Pr 140.91 Pr.upf
Br 79.90 Br.upf
Hg 200.59 Hg.upf
CELL_PARAMETERS angstrom
6.626 -0.108 -0.083
2.053 7.622 -0.289
2.047 1.276 7.521
ATOMIC_POSITIONS crystal
Pr 0.915 0.537 0.287
Pr 0.915 0.037 0.787
Pr 0.085 0.963 0.213
Pr 0.085 0.463 0.713
Br 0.202 0.182 0.432
Br 0.202 0.682 0.932
Br 0.798 0.318 0.068
Br 0.798 0.818 0.568
Hg 0.378 0.617 0.367
Hg 0.378 0.117 0.867
Hg 0.622 0.383 0.633
Hg 0.622 0.883 0.133
```



5.
## BeHSeBr2 (PBE-GGA)

Data for BeHSeBr2 after structural relaxation. Values from VASP.

Its crystal system is tetragonal. As for the space group: No. 123. For the magnetic moment, the calculation gives 0.071 μB per atom. Its total energy is -10.03 eV/cell.

```
&SYSTEM
  ibrav = 0, nat = 5, ntyp = 4
/
ATOMIC_SPECIES
Br 79.90 Br.upf
Se 78.96 Se.upf
Be 9.01 Be.upf
H 1.01 H.upf
CELL_PARAMETERS angstrom
-0.842 2.641 4.404
-5.134 -0.347 -0.774
-0.067 -3.023 1.799
ATOMIC_POSITIONS crystal
Br 0.500 0.000 0.000
Br 0.000 0.500 0.000
Se 0.000 0.000 0.500
Be 0.500 0.500 0.500
H 0.000 0.000 0.000
```



6.
## TbPr2SmTh (PBE-GGA)

Data for TbPr2SmTh after structural relaxation. Values from VASP.

Its crystal system is monoclinic. As for the space group: No. 13. For the magnetic moment, the calculation gives 0.000 μB per atom. Its total energy is -50.25 eV/cell.

```
&SYSTEM
  ibrav = 0, nat = 10, ntyp = 4
/
ATOMIC_SPECIES
Pr 140.91 Pr.upf
Th 232.04 Th.upf
Sm 150.36 Sm.upf
Tb 158.93 Tb.upf
CELL_PARAMETERS angstrom
8.531 0.000 0.000
0.000 6.114 1.871
0.000 -0.407 6.659
ATOMIC_POSITIONS crystal
Pr 0.674 0.715 0.844
Pr 0.326 0.285 0.156
Pr 0.674 0.285 0.656
Pr 0.326 0.715 0.344
Th 0.000 0.000 0.500
Th 0.000 0.000 0.000
Sm 0.337 0.000 0.750
Sm 0.663 0.000 0.250
Tb 0.083 0.500 0.750
Tb 0.917 0.500 0.250
```



7.
## Rb2MnCuI6 (PBE-GGA)

Data for Rb2MnCuI6 after structural relaxation. Values from VASP.

Its crystal system is triclinic. As for the space group: No. 1. For the magnetic moment, the calculation gives 0.391 μB per atom. Its total energy is -32.04 eV/cell.

```
&SYSTEM
  ibrav = 0, nat = 10, ntyp = 4
/
ATOMIC_SPECIES
I 126.90 I.upf
Rb 85.47 Rb.upf
Cu 63.55 Cu.upf
Mn 54.94 Mn.upf
CELL_PARAMETERS angstrom
-2.356 2.413 6.966
-4.752 -7.421 1.731
7.786 -1.045 -1.609
ATOMIC_POSITIONS crystal
I 0.205 0.647 0.928
I 0.727 0.828 0.545
I 0.246 0.136 0.425
I 0.758 0.374 0.064
I 0.724 0.833 0.011
I 0.245 0.136 0.955
Rb 0.774 0.240 0.508
Rb 0.204 0.736 0.469
Cu 0.589 0.628 0.107
Mn 0.028 0.946 0.987
```



8.
## Sm2Cu12Ni3Ge (PBE-GGA)

Data for Sm2Cu12Ni3Ge after structural relaxation. Values from VASP.

Its crystal system is trigonal. As for the space group: No. 166. For the magnetic moment, the calculation gives 0.000 μB per atom. Its total energy is -80.14 eV/cell.

```
&SYSTEM
  ibrav = 0, nat = 18, ntyp = 4
/
ATOMIC_SPECIES
Cu 63.55 Cu.upf
Ni 58.69 Ni.upf
Ge 72.64 Ge.upf
Sm 150.36 Sm.upf
CELL_PARAMETERS angstrom
6.207 -1.296 -0.920
1.938 6.038 -0.920
1.938 1.128 6.002
ATOMIC_POSITIONS crystal
Cu 0.844 0.427 0.427
Cu 0.427 0.427 0.844
Cu 0.156 0.573 0.573
Cu 0.273 0.800 0.800
Cu 0.800 0.800 0.273
Cu 0.800 0.273 0.800
Cu 0.200 0.200 0.727
Cu 0.727 0.200 0.200
Cu 0.573 0.573 0.156
Cu 0.573 0.156 0.573
Cu 0.427 0.844 0.427
Cu 0.200 0.727 0.200
Ni 0.000 0.000 0.500
Ni 0.500 0.000 0.000
Ni 0.000 0.500 0.000
Ge 0.000 0.000 0.000
Sm 0.252 0.252 0.252
Sm 0.748 0.748 0.748
```



9.
## CePuThAl (PBE-GGA)

Data for CePuThAl after structural relaxation. Values from VASP.

Its crystal system is cubic. As for the space group: No. 216. For the magnetic moment, the calculation gives 1.968 μB per atom. Its total energy is -31.06 eV/cell.

```
&SYSTEM
  ibrav = 0, nat = 4, ntyp = 4
/
ATOMIC_SPECIES
Pu 244.00 Pu.upf
Th 232.04 Th.upf
Al 26.98 Al.upf
Ce 140.12 Ce.upf
CELL_PARAMETERS angstrom
-2.939 -2.618 3.514
-1.885 -4.785 -1.180
1.948 -4.271 2.409
ATOMIC_POSITIONS crystal
Pu 0.000 0.000 0.000
Th 0.750 0.750 0.750
Al 0.250 0.250 0.250
Ce 0.500 0.500 0.500
```



10.
## CoRe2Te (PBE-GGA)

Data for CoRe2Te after structural relaxation. Values from VASP.

Its crystal system is monoclinic. As for the space group: No. 6. For the magnetic moment, the calculation gives 0.232 μB per atom. Its total energy is -33.36 eV/cell.

```
&SYSTEM
  ibrav = 0, nat = 4, ntyp = 3
/
ATOMIC_SPECIES
Re 186.21 Re.upf
Te 127.60 Te.upf
Co 58.93 Co.upf
CELL_PARAMETERS angstrom
-0.391 -2.950 0.573
2.730 -0.127 1.209
-0.167 1.561 7.927
ATOMIC_POSITIONS crystal
Re 0.500 0.428 0.197
Re 0.000 0.127 0.997
Te 0.000 0.113 0.514
Co 0.500 0.832 0.792
```



11.
## Na2Mn2Cd (PBE-GGA)

Data for Na2Mn2Cd after structural relaxation. Values from VASP.

Its crystal system is tetragonal. As for the space group: No. 139. For the magnetic moment, the calculation gives 1.632 μB per atom. Its total energy is -18.18 eV/cell.

```
&SYSTEM
  ibrav = 0, nat = 5, ntyp = 3
/
ATOMIC_SPECIES
Na 22.99 Na.upf
Mn 54.94 Mn.upf
Cd 112.41 Cd.upf
CELL_PARAMETERS angstrom
-2.625 -0.280 2.875
-2.846 -0.420 -2.638
-1.772 -7.831 0.271
ATOMIC_POSITIONS crystal
Na 0.750 0.250 0.500
Na 0.250 0.750 0.500
Mn 0.417 0.417 0.165
Mn 0.583 0.583 0.835
Cd 0.000 0.000 0.000
```